Record 1
Rb3SmEr2O6: optimized geometry, PBE.

Cell: 6.0977 6.0977 6.8722 Å, 98.50 98.50 120.00°
Closest atoms and distances in Å follow each position.
Element x y z (fractional)
1 Rb 0.1672 0.8328 0.5000  6 O 2.90-2.97
2 Rb 0.8328 0.1672 0.5000  6 O 2.90-2.97
3 Rb 0.5000 0.5000 0.5000  6 O 2.91-2.96
4 Sm 0.0000 0.0000 0.0000  6 O 2.38
5 Er 0.3333 0.6667 0.0000  6 O 2.31
6 Er 0.6667 0.3333 0.0000  6 O 2.31
7 O 0.9415 0.5991 0.8245  2 Er 2.31, 1 Sm 2.38
8 O 0.7160 0.7160 0.1754  2 Er 2.31, 1 Sm 2.38
9 O 0.0585 0.4009 0.1755  2 Er 2.31, 1 Sm 2.38
10 O 0.5991 0.9415 0.8245  2 Er 2.31, 1 Sm 2.38
11 O 0.2840 0.2840 0.8246  2 Er 2.31, 1 Sm 2.38
12 O 0.4009 0.0585 0.1755  2 Er 2.31, 1 Sm 2.38

Properties
Mass density in Mg/m³: 6.577
E_form (uncorrected) in meV per atom: -2681.4
Size of the total moment in μB per atom: 0.000
Space group: No. 12

---

Record 2
Rb2Er2SnO6: optimized geometry, PBE.

Cell: 5.8352 5.8352 6.9507 Å, 97.89 97.89 119.75°
Closest atoms and distances in Å follow each position.
Element x y z (fractional)
1 Rb 0.8336 0.1664 0.0000  6 O 2.92-3.04
2 Rb 0.1664 0.8336 0.0000  6 O 2.92-3.04
3 Er 0.3345 0.6655 0.5000  6 O 2.27-2.29
4 Er 0.6655 0.3345 0.5000  6 O 2.27-2.29
5 Sn 0.0000 0.0000 0.5000  6 O 2.12-2.16
6 O 0.7429 0.7429 0.6642  1 Sn 2.12, 2 Er 2.29
7 O 0.0496 0.3704 0.6644  1 Sn 2.16, 2 Er 2.27-2.29
8 O 0.2571 0.2571 0.3358  1 Sn 2.12, 2 Er 2.29
9 O 0.3704 0.0496 0.6644  1 Sn 2.16, 2 Er 2.27-2.29
10 O 0.9504 0.6296 0.3356  1 Sn 2.16, 2 Er 2.27-2.29
11 O 0.6296 0.9504 0.3356  1 Sn 2.16, 2 Er 2.27-2.29

Properties
Mass density in Mg/m³: 6.050
E_form (uncorrected) in meV per atom: -2464.7
Size of the total moment in μB per atom: 0.000
Space group: No. 12

---

Record 3
RbErSnO3: optimized geometry, PBE.

Cell: 3.4428 10.0116 7.3995 Å, 93.36 90.00 90.00°
Closest atoms and distances in Å follow each position.
Element x y z (fractional)
1 Rb 0.7500 0.7116 0.6579  5 O 2.78-3.01
2 Rb 0.2500 0.2884 0.3421  5 O 2.78-3.01
3 Er 0.2500 0.6248 0.1062  6 O 2.24-2.36
4 Er 0.7500 0.3752 0.8938  6 O 2.24-2.36
5 Sn 0.2500 0.0980 0.7550  3 O 2.06-2.21
6 Sn 0.7500 0.9020 0.2450  3 O 2.06-2.21
7 O 0.2500 0.7904 0.3472  2 Sn 2.21, 1 Er 2.36
8 O 0.7500 0.7609 0.0310  1 Sn 2.06, 2 Er 2.28
9 O 0.7500 0.4884 0.1646  3 Er 2.24-2.25
10 O 0.7500 0.2096 0.6528  2 Sn 2.21, 1 Er 2.36
11 O 0.2500 0.5116 0.8354  3 Er 2.24-2.25
12 O 0.2500 0.2391 0.9690  1 Sn 2.06, 2 Er 2.28

Properties
Mass density in Mg/m³: 5.471
E_form (uncorrected) in meV per atom: -2274.2
Size of the total moment in μB per atom: 0.000
Space group: No. 11

---

Record 4
Rb2ErTaO6: optimized geometry, PBE.

Cell: 6.0587 6.0587 6.0587 Å, 60.00 60.00 60.00°
Closest atoms and distances in Å follow each position.
Element x y z (fractional)
1 Rb 0.7500 0.7500 0.7500  12 O 3.03
2 Rb 0.2500 0.2500 0.2500  12 O 3.03
3 Er 0.5000 0.5000 0.5000  6 O 2.28
4 Ta 0.0000 0.0000 0.0000  6 O 2.01
5 O 0.2344 0.7656 0.7656  1 Ta 2.01
6 O 0.2344 0.7656 0.2344  1 Ta 2.01
7 O 0.2344 0.2344 0.7656  1 Ta 2.01
8 O 0.7656 0.7656 0.2344  1 Ta 2.01
9 O 0.7656 0.2344 0.2344  1 Ta 2.01
10 O 0.7656 0.2344 0.7656  1 Ta 2.01

Properties
Mass density in Mg/m³: 6.495
E_form (uncorrected) in meV per atom: -2318.9
Size of the total moment in μB per atom: 0.203
Space group: No. 225

---

Record 5
Rb3Er3TaO8: optimized geometry, PBE.

Cell: 6.7981 6.7978 7.6818 Å, 116.27 90.00 120.00°
Closest atoms and distances in Å follow each position.
Element x y z (fractional)
1 Rb 0.0000 0.0000 0.0000  6 O 2.92-2.95
2 Rb 0.0000 0.5000 0.0000  6 O 2.92-2.95
3 Rb 0.5000 0.5000 0.0000  6 O 2.92-2.95
4 Er 0.5000 0.0000 0.5000  6 O 2.27-2.29
5 Er 0.5000 0.5000 0.5000  6 O 2.27-2.29
6 Er 0.0000 0.5000 0.5000  6 O 2.27-2.29
7 Ta 0.0000 0.0000 0.5000  6 O 2.10
8 O 0.2760 0.5520 0.3281  3 Er 2.27
9 O 0.7240 0.4480 0.6719  3 Er 2.27
10 O 0.7926 0.5852 0.3423  1 Ta 2.10, 2 Er 2.29
11 O 0.2074 0.4148 0.6577  1 Ta 2.10, 2 Er 2.29
12 O 0.7926 0.0497 0.3423  1 Ta 2.10, 2 Er 2.29
13 O 0.2074 0.9503 0.6577  1 Ta 2.10, 2 Er 2.29
14 O 0.2571 0.0497 0.3423  1 Ta 2.10, 2 Er 2.29
15 O 0.7429 0.9503 0.6577  1 Ta 2.10, 2 Er 2.29

Properties
Mass density in Mg/m³: 6.706
E_form (uncorrected) in meV per atom: -2713.6
Size of the total moment in μB per atom: 0.059
Space group: No. 166

---

Record 6
Rb2TbErO4: optimized geometry, PBE.

Cell: 3.5036 6.0687 6.8643 Å, 107.14 90.00 90.00°
Closest atoms and distances in Å follow each position.
Element x y z (fractional)
1 Rb 0.5000 0.0000 0.5000  6 O 2.93
2 Rb 0.0000 0.5000 0.5000  6 O 2.95
3 Tb 0.5000 0.5000 0.0000  6 O 2.34
4 Er 0.0000 0.0000 0.0000  6 O 2.31-2.32
5 O 0.5000 0.2215 0.1746  2 Er 2.32, 1 Tb 2.34
6 O 0.5000 0.7785 0.8254  2 Er 2.32, 1 Tb 2.34
7 O 0.0000 0.2715 0.8247  1 Er 2.31, 2 Tb 2.34
8 O 0.0000 0.7285 0.1753  1 Er 2.31, 2 Tb 2.34

Properties
Mass density in Mg/m³: 6.681
E_form (uncorrected) in meV per atom: -2701.9
Size of the total moment in μB per atom: 0.000
Space group: No. 10

---

Record 7
Rb3Tb2ErO6: optimized geometry, PBE.

Cell: 6.0861 6.0861 6.8694 Å, 98.49 98.49 120.00°
Closest atoms and distances in Å follow each position.
Element x y z (fractional)
1 Rb 0.1664 0.8336 0.5000  6 O 2.93-2.96
2 Rb 0.8336 0.1664 0.5000  6 O 2.93-2.96
3 Rb 0.5000 0.5000 0.5000  6 O 2.93-2.96
4 Tb 0.3333 0.6667 0.0000  6 O 2.34
5 Tb 0.6667 0.3333 0.0000  6 O 2.34
6 Er 0.0000 0.0000 0.0000  6 O 2.31
7 O 0.9416 0.6121 0.8248  1 Er 2.31, 2 Tb 2.34
8 O 0.7290 0.7290 0.1753  1 Er 2.31, 2 Tb 2.34
9 O 0.0584 0.3879 0.1752  1 Er 2.31, 2 Tb 2.34
10 O 0.6121 0.9416 0.8248  1 Er 2.31, 2 Tb 2.34
11 O 0.2710 0.2710 0.8247  1 Er 2.31, 2 Tb 2.34
12 O 0.3879 0.0584 0.1752  1 Er 2.31, 2 Tb 2.34

Properties
Mass density in Mg/m³: 6.606
E_form (uncorrected) in meV per atom: -2695.2
Size of the total moment in μB per atom: 0.000
Space group: No. 12

---

Record 8
Rb3TbEr2O6: optimized geometry, PBE.

Cell: 6.0512 6.0512 6.8593 Å, 98.45 98.45 120.00°
Closest atoms and distances in Å follow each position.
Element x y z (fractional)
1 Rb 0.1669 0.8331 0.5000  6 O 2.92-2.95
2 Rb 0.8331 0.1669 0.5000  6 O 2.92-2.95
3 Rb 0.5000 0.5000 0.5000  6 O 2.92-2.94
4 Tb 0.0000 0.0000 0.0000  6 O 2.34
5 Er 0.3333 0.6667 0.0000  6 O 2.31
6 Er 0.6667 0.3333 0.0000  6 O 2.31
7 O 0.9418 0.6046 0.8255  2 Er 2.31, 1 Tb 2.34
8 O 0.7209 0.7209 0.1745  2 Er 2.31, 1 Tb 2.34
9 O 0.0582 0.3954 0.1745  2 Er 2.31, 1 Tb 2.34
10 O 0.6046 0.9418 0.8255  2 Er 2.31, 1 Tb 2.34
11 O 0.2791 0.2791 0.8255  2 Er 2.31, 1 Tb 2.34
12 O 0.3954 0.0582 0.1745  2 Er 2.31, 1 Tb 2.34

Properties
Mass density in Mg/m³: 6.756
E_form (uncorrected) in meV per atom: -2709.5
Size of the total moment in μB per atom: 0.000
Space group: No. 12

---

Record 9
Rb2ErTcO6: optimized geometry, PBE.

Cell: 5.7050 6.4269 6.4269 Å, 120.00 90.00 90.00°
Closest atoms and distances in Å follow each position.
Element x y z (fractional)
1 Rb 0.1274 0.3333 0.6667  3 O 2.91
2 Rb 0.8726 0.6667 0.3333  3 O 2.91
3 Er 0.5000 0.0000 0.0000  6 O 2.26
4 Tc 0.0000 0.0000 0.0000  6 O 1.91
5 O 0.7937 0.1357 0.2714  1 Tc 1.91
6 O 0.7937 0.1357 0.8643  1 Tc 1.91
7 O 0.7937 0.7286 0.8643  1 Tc 1.91
8 O 0.2063 0.8643 0.1357  1 Tc 1.91
9 O 0.2063 0.2714 0.1357  1 Tc 1.91
10 O 0.2063 0.8643 0.7286  1 Tc 1.91

Properties
Mass density in Mg/m³: 4.330
E_form (uncorrected) in meV per atom: -1879.6
Size of the total moment in μB per atom: 0.000
Space group: No. 164

---

Record 10
Rb2ErTe3O12: optimized geometry, PBE.

Cell: 7.5539 7.5539 7.5539 Å, 58.73 58.73 58.73°
Closest atoms and distances in Å follow each position.
Element x y z (fractional)
1 Rb 0.6230 0.6230 0.6230  6 O 3.20-3.25
2 Rb 0.3770 0.3770 0.3770  6 O 3.20-3.25
3 Er 0.0000 0.0000 0.0000  6 O 2.22
4 Te 0.5000 0.0000 0.0000  6 O 1.88-1.98
5 Te 0.0000 0.5000 0.0000  6 O 1.88-1.98
6 Te 0.0000 0.0000 0.5000  6 O 1.88-1.98
7 O 0.3163 0.3163 0.9184  2 Te 1.98
8 O 0.9245 0.9245 0.3524  1 Te 1.88
9 O 0.3524 0.9245 0.9245  1 Te 1.88
10 O 0.9184 0.3163 0.3163  2 Te 1.98
11 O 0.9245 0.3524 0.9245  1 Te 1.88
12 O 0.3163 0.9184 0.3163  2 Te 1.98
13 O 0.6837 0.6837 0.0816  2 Te 1.98
14 O 0.0755 0.0755 0.6476  1 Te 1.88
15 O 0.6476 0.0755 0.0755  1 Te 1.88
16 O 0.0816 0.6837 0.6837  2 Te 1.98
17 O 0.0755 0.6476 0.0755  1 Te 1.88
18 O 0.6837 0.0816 0.6837  2 Te 1.98

Properties
Mass density in Mg/m³: 5.123
E_form (uncorrected) in meV per atom: -1474.7
Size of the total moment in μB per atom: 0.048
Space group: No. 166

---

Record 11
RbErTi2O6: optimized geometry, PBE.

Cell: 6.6240 7.7330 7.7330 Å, 104.75 76.41 76.41°
Closest atoms and distances in Å follow each position.
Element x y z (fractional)
1 Rb 0.2500 0.8930 0.1070  6 O 2.85-2.91
2 Rb 0.7500 0.1070 0.8930  6 O 2.85-2.91
3 Er 0.2500 0.2080 0.7920  4 O 2.12
4 Er 0.7500 0.7920 0.2080  4 O 2.12
5 Ti 0.3373 0.7102 0.5684  4 O 1.80-1.98
6 Ti 0.1627 0.4316 0.2898  4 O 1.80-1.98
7 Ti 0.6627 0.2898 0.4316  4 O 1.80-1.98
8 Ti 0.8373 0.5684 0.7102  4 O 1.80-1.98
9 O 0.2179 0.9361 0.7576  1 Ti 1.82
10 O 0.2821 0.2424 0.0639  1 Ti 1.82
11 O 0.7821 0.0639 0.2424  1 Ti 1.82
12 O 0.7179 0.7576 0.9361  1 Ti 1.82
13 O 0.4497 0.7896 0.3781  1 Ti 1.80
14 O 0.0503 0.6219 0.2104  1 Ti 1.80
15 O 0.5503 0.2104 0.6219  1 Ti 1.80
16 O 0.9497 0.3781 0.7896  1 Ti 1.80
17 O 0.0636 0.6449 0.5858  2 Ti 1.88-1.98
18 O 0.4364 0.4142 0.3551  2 Ti 1.88-1.98
19 O 0.9364 0.3551 0.4142  2 Ti 1.88-1.98
20 O 0.5636 0.5858 0.6449  2 Ti 1.88-1.98

Properties
Mass density in Mg/m³: 4.175
E_form (uncorrected) in meV per atom: -2939.0
Size of the total moment in μB per atom: 0.000
Space group: No. 15

---

Record 12
Rb4Er3TiO8: optimized geometry, PBE.

Cell: 6.8194 7.5929 6.8209 Å, 116.68 119.99 90.00°
Closest atoms and distances in Å follow each position.
Element x y z (fractional)
1 Rb 0.5000 0.0000 0.0000  6 O 2.97-2.98
2 Rb 0.5000 0.0000 0.5000  6 O 2.88-2.89
3 Rb 0.0000 0.0000 0.0000  6 O 2.88-2.89
4 Rb 0.0000 0.0000 0.5000  6 O 2.88-2.89
5 Er 0.5000 0.5000 0.0000  6 O 2.28-2.29
6 Er 0.5000 0.5000 0.5000  6 O 2.28-2.29
7 Er 0.0000 0.5000 0.5000  6 O 2.28-2.29
8 Ti 0.0000 0.5000 0.0000  6 O 2.18
9 O 0.2155 0.6685 0.9530  1 Ti 2.18, 2 Er 2.29
10 O 0.2158 0.6688 0.4317  1 Ti 2.18, 2 Er 2.29
11 O 0.2747 0.3240 0.5494  3 Er 2.28
12 O 0.7375 0.6685 0.9530  1 Ti 2.18, 2 Er 2.29
13 O 0.2625 0.3315 0.0470  1 Ti 2.18, 2 Er 2.29
14 O 0.7253 0.6760 0.4506  3 Er 2.28
15 O 0.7842 0.3312 0.5683  1 Ti 2.18, 2 Er 2.29
16 O 0.7845 0.3315 0.0470  1 Ti 2.18, 2 Er 2.29

Properties
Mass density in Mg/m³: 6.472
E_form (uncorrected) in meV per atom: -2556.7
Size of the total moment in μB per atom: 0.062
Space group: No. 166